(1)
DFT (PBE) results for a relaxed SmHoSi crystal.

The value obtained for the uncorrected formation energy is -44.0 kJ/mol of atoms. As for the spin magnetization: 0.00 μB/atom. The calculation puts the polymorph energy (0 for the lowest one) at 95 meV/atom. Its crystal system is cubic.

```
data_SmHoSi
_chemical_formula_sum 'Sm4 Ho4 Si4'
_space_group_name_H-M_alt 'P 1'
_space_group_IT_number 1
_cell_length_a 6.915
_cell_length_b 6.915
_cell_length_c 6.915
_cell_angle_alpha 90.00
_cell_angle_beta 90.00
_cell_angle_gamma 90.00
loop_
_space_group_symop_operation_xyz
'x,y,z'
loop_
_atom_site_label
_atom_site_type_symbol
_atom_site_fract_x
_atom_site_fract_y
_atom_site_fract_z
Sm1 Sm 0.000 0.000 0.000
Sm2 Sm 0.000 0.500 0.500
Sm3 Sm 0.500 0.000 0.500
Sm4 Sm 0.500 0.500 0.000
Ho1 Ho 0.000 0.000 0.500
Ho2 Ho 0.000 0.500 0.000
Ho3 Ho 0.500 0.000 0.000
Ho4 Ho 0.500 0.500 0.500
Si1 Si 0.250 0.250 0.250
Si2 Si 0.250 0.750 0.750
Si3 Si 0.750 0.250 0.750
Si4 Si 0.750 0.750 0.250
```

---

(2)
DFT (PBE) results for a relaxed CaPu2BeO8 crystal.

The value obtained for the uncorrected formation energy is -238.6 kJ/mol of atoms. As for the spin magnetization: 0.33 μB/atom. Its crystal system is orthorhombic.

```
data_CaPu2BeO8
_chemical_formula_sum 'Ca1 Pu2 Be1 O8'
_space_group_name_H-M_alt 'P 1'
_space_group_IT_number 1
_cell_length_a 4.760
_cell_length_b 4.760
_cell_length_c 6.782
_cell_angle_alpha 90.00
_cell_angle_beta 90.00
_cell_angle_gamma 94.81
loop_
_space_group_symop_operation_xyz
'x,y,z'
loop_
_atom_site_label
_atom_site_type_symbol
_atom_site_fract_x
_atom_site_fract_y
_atom_site_fract_z
Ca1 Ca 0.000 0.000 0.000
Pu1 Pu 0.500 0.500 0.262
Pu2 Pu 0.500 0.500 0.738
Be1 Be 0.000 0.000 0.500
O1 O 0.196 0.196 0.292
O2 O 0.196 0.196 0.708
O3 O 0.303 0.697 0.500
O4 O 0.324 0.676 0.000
O5 O 0.676 0.324 0.000
O6 O 0.697 0.303 0.500
O7 O 0.804 0.804 0.292
O8 O 0.804 0.804 0.708
```